[1]
A relaxed structure of CeLu2Br. Source: the Alexandria database, functional GGA-PBE.

Unit cell a=10.2582 b=10.2582 c=10.2582 alpha=19.97 beta=19.97 gamma=19.97
Fractional coordinates of all 4 atoms:
Ce 0.0000 0.0000 0.0000
Lu 0.2435 0.2435 0.2435
Lu 0.7565 0.7565 0.7565
Br 0.5000 0.5000 0.5000

Values from the calculation:
Magnetic moment: 0.84 μB/f.u.
E_form (uncorrected): -0.468 eV/atom
Electronic total energy: -18.52 eV for the cell shown
DOS(E_F): 5.4 states/eV per cell

[2]
A relaxed structure of CeMgBr6. Source: the Alexandria database, functional GGA-PBE.

Unit cell a=7.4204 b=7.4204 c=6.8263 alpha=98.24 beta=98.24 gamma=125.22
Fractional coordinates of all 8 atoms:
Ce 0.0000 0.0000 0.0000
Mg 0.5000 0.5000 0.5000
Br 0.1196 0.4059 0.2625
Br 0.2498 0.2498 0.7496
Br 0.4059 0.1196 0.2625
Br 0.5941 0.8804 0.7375
Br 0.7502 0.7502 0.2504
Br 0.8804 0.5941 0.7375

Values from the calculation:
Magnetic moment: 0.00 μB/f.u.
E_form (uncorrected): -1.495 eV/atom
Electronic total energy: -29.52 eV for the cell shown
Energy relative to the lowest polymorph listed for this composition: 0 meV/atom

[3]
A relaxed structure of CeMgBr6. Source: the Alexandria database, functional GGA-PBE.

Unit cell a=7.4947 b=7.4947 c=7.4947 alpha=55.32 beta=55.32 gamma=55.32
Fractional coordinates of all 8 atoms:
Ce 0.0000 0.0000 0.0000
Mg 0.5000 0.5000 0.5000
Br 0.1071 0.7457 0.4036
Br 0.2543 0.5964 0.8929
Br 0.4036 0.1071 0.7457
Br 0.5964 0.8929 0.2543
Br 0.7457 0.4036 0.1071
Br 0.8929 0.2543 0.5964

Values from the calculation:
Magnetic moment: 0.00 μB/f.u.
E_form (uncorrected): -1.475 eV/atom
Electronic total energy: -29.37 eV for the cell shown
Energy relative to the lowest polymorph listed for this composition: 20 meV/atom

[4]
A relaxed structure of CeMgBr5. Source: the Alexandria database, functional GGA-PBE.

Unit cell a=7.7164 b=7.7164 c=10.9949 alpha=111.02 beta=111.02 gamma=86.46
Fractional coordinates of all 14 atoms:
Ce 0.0000 0.5000 0.0000
Ce 0.5000 0.0000 0.5000
Mg 0.1392 0.8608 0.7500
Mg 0.8608 0.1392 0.2500
Br 0.1529 0.1880 0.4614
Br 0.1739 0.5869 0.8303
Br 0.1880 0.1529 0.9614
Br 0.3287 0.6713 0.2500
Br 0.4131 0.8261 0.6697
Br 0.5869 0.1739 0.3303
Br 0.6713 0.3287 0.7500
Br 0.8120 0.8471 0.0386
Br 0.8261 0.4131 0.1697
Br 0.8471 0.8120 0.5386

Values from the calculation:
Magnetic moment: 1.00 μB/f.u.
E_form (uncorrected): -1.606 eV/atom
Electronic total energy: -54.27 eV for the cell shown
DOS(E_F): 16.7 states/eV per cell